Material: NaBeAs
Method: DFT, PBE
State: optimized geometry

Structure (POSCAR):
```
NaBeAs
1.0
3.822 0.000 0.000
-1.911 3.310 0.000
0.000 0.000 4.601
Na Be As
1 1 1
Direct
0.000 0.000 0.000
0.667 0.333 0.500
0.333 0.667 0.500
```

Final energy, eV per formula unit: -10.8
Magnetic moment, μB/f.u.: 0.0

=====

Material: TlZnI3
Method: DFT, PBE
State: optimized geometry

Structure (POSCAR):
```
TlZnI3
1.0
5.687 0.000 0.000
0.000 5.687 0.000
0.000 0.000 5.687
Tl Zn I
1 1 3
Direct
0.000 0.000 0.000
0.500 0.500 0.500
0.000 0.500 0.500
0.500 0.000 0.500
0.500 0.500 0.000
```

Energy relative to the elements, uncorrected, eV/atom: -0.43
Distance to the lowest polymorph of the same formula, eV per formula unit: 0.87
Magnetic moment, μB/f.u.: 0.0

=====

Material: KNaCd2Pt
Method: DFT, PBE
State: optimized geometry

Structure (POSCAR):
```
KNaCd2Pt
1.0
5.329 0.000 0.000
0.000 5.329 0.000
0.000 0.000 5.462
K Na Cd Pt
1 1 2 1
Direct
0.000 0.000 0.000
0.500 0.500 0.000
0.000 0.500 0.500
0.500 0.000 0.500
0.500 0.500 0.500
```

Distance to the lowest polymorph of the same formula, eV per formula unit: 0.00
Magnetic moment, μB/f.u.: 0.0

=====

Material: Pm2NdIn3
Method: DFT, PBE
State: optimized geometry

Structure (POSCAR):
```
Pm2NdIn3
1.0
2.729 -8.185 0.000
2.729 8.185 0.000
0.000 0.000 7.714
Pm Nd In
4 2 6
Direct
0.000 0.000 0.000
0.000 0.000 0.500
0.333 0.667 0.000
0.667 0.333 0.000
0.333 0.667 0.500
0.667 0.333 0.500
0.166 0.834 0.248
0.166 0.834 0.752
0.500 0.500 0.248
0.500 0.500 0.752
0.834 0.166 0.248
0.834 0.166 0.752
```

Final energy, eV per formula unit: -25.5
Magnetic moment, μB/f.u.: 0.0